# RbBa3Te PBE-GGA optimized geometry
data_RbBa3Te
_chemical_formula_sum 'Rb1 Ba3 Te1'
_space_group_name_H-M_alt 'P m -3 m'
_space_group_IT_number 221
_space_group_name_Hall '-P 4 2 3'
_cell_length_a 6.5946
_cell_length_b 6.5946
_cell_length_c 6.5946
_cell_angle_alpha 90.00
_cell_angle_beta 90.00
_cell_angle_gamma 90.00
loop_
_atom_site_label
_atom_site_fract_x
_atom_site_fract_y
_atom_site_fract_z
Rb1 0.0000 0.0000 0.0000
Ba1 0.0000 0.0000 0.5000
Te1 0.5000 0.5000 0.5000
# volume: 57.4 Å³/atom
# mass density: 3.6 g cm⁻³
# energy above the lowest structure with this stoichiometry: 0.9769 eV per atom
# ΔE_f (raw): 0.47 eV per atom


# RbBa2Te PBE-GGA optimized geometry
data_RbBa2Te
_chemical_formula_sum 'Rb1 Ba2 Te1'
_space_group_name_H-M_alt 'P 4/m m m'
_space_group_IT_number 123
_space_group_name_Hall '-P 4 2'
_cell_length_a 4.3225
_cell_length_b 4.3225
_cell_length_c 12.1219
_cell_angle_alpha 90.00
_cell_angle_beta 90.00
_cell_angle_gamma 90.00
loop_
_atom_site_label
_atom_site_fract_x
_atom_site_fract_y
_atom_site_fract_z
Rb1 0.0000 0.0000 0.0000
Ba1 0.5000 0.5000 0.3344
Te1 0.0000 0.0000 0.5000
# volume: 56.6 Å³/atom
# mass density: 3.6 g cm⁻³
# ΔE_f (raw): -0.71 eV per atom


# Rb2BaThTe4 PBE-GGA optimized geometry
data_Rb2BaThTe4
_chemical_formula_sum 'Rb2 Ba1 Th1 Te4'
_space_group_name_H-M_alt 'P 1 2/m 1'
_space_group_IT_number 10
_cell_length_a 8.5246
_cell_length_b 4.8147
_cell_length_c 8.9683
_cell_angle_alpha 90.00
_cell_angle_beta 107.77
_cell_angle_gamma 90.00
loop_
_space_group_symop_operation_xyz
'x,y,z'
'-x,-y,-z'
'-x,y,-z'
'x,-y,z'
loop_
_atom_site_label
_atom_site_fract_x
_atom_site_fract_y
_atom_site_fract_z
Rb1 0.0000 0.0000 0.0000
Rb2 0.5000 0.5000 0.0000
Ba1 0.0000 0.5000 0.5000
Th1 0.5000 0.0000 0.5000
Te1 0.2691 0.0000 0.7118
Te2 0.2895 0.5000 0.2961
# volume: 43.8 Å³/atom
# mass density: 5.0 g cm⁻³
# ΔE_f (raw): -1.36 eV per atom


# Rb4BaTh3Te8 PBE-GGA optimized geometry
data_Rb4BaTh3Te8
_chemical_formula_sum 'Rb12 Ba3 Th9 Te24'
_space_group_name_H-M_alt 'R -3 m'
_space_group_IT_number 166
_space_group_name_Hall '-R 3 2"'
_cell_length_a 9.3791
_cell_length_b 9.3791
_cell_length_c 25.8971
_cell_angle_alpha 90.00
_cell_angle_beta 90.00
_cell_angle_gamma 120.00
loop_
_atom_site_label
_atom_site_fract_x
_atom_site_fract_y
_atom_site_fract_z
Rb1 0.0000 0.0000 0.0000
Rb2 0.0000 0.5000 0.0000
Ba1 0.0000 0.0000 0.5000
Th1 0.0000 0.5000 0.5000
Te1 0.0000 0.0000 0.2345
Te2 0.0228 0.5114 0.7631
# volume: 41.1 Å³/atom
# mass density: 5.5 g cm⁻³
# ΔE_f (raw): -1.25 eV per atom